LaAl2Cu: optimized geometry, GGA-PBE.

electronic total energy = -4.201 eV per atom
DFT formation energy = -74.0 meV per atom
magnetic moment = 0.000 μB/atom

abc: 5.9561 5.9561 5.9561
angles: 150.07 128.92 60.33
Closest atoms and distances in Å follow each position.
Positions (direct):
La (0.0000, 0.0000, 0.0000)  4 Cu 2.99, 2 La 3.08, 4 Al 3.33
Al (0.2868, 0.7868, 0.5000)  2 Cu 2.68
Al (0.7132, 0.2132, 0.5000)  2 Cu 2.68
Cu (0.5000, 0.5000, 0.0000)  4 Al 2.68, 4 La 2.99

=====

LaAl2Cu: optimized geometry, GGA-PBE.

electronic total energy = -4.486 eV per atom
DFT formation energy = -358.9 meV per atom
magnetic moment = 0.000 μB/atom

abc: 5.9742 5.9742 5.9742
angles: 42.05 42.05 42.05
Closest atoms and distances in Å follow each position.
Positions (direct):
La (0.0000, 0.0000, 0.0000)  4 Cu 3.16-3.37, 7 Al 3.23-3.38
Al (0.5255, 0.5255, 0.5255)  3 Cu 2.48, 3 Al 2.69
Al (0.7942, 0.7942, 0.7942)  3 Al 2.69, 3 Cu 2.70
Cu (0.1935, 0.1935, 0.1935)  6 Al 2.48-2.70